# Li2Cr2ReO6

A relaxed structure of Li2Cr2ReO6 (GGA+U, Alexandria via LeMat-Bulk).

It has space group C2/m (No. 12), with a = 5.132 Å, b = 9.061 Å, c = 5.269 Å, α = 90.00°, β = 109.68° and γ = 90.00°. The inequivalent atoms are Li at (0.000, 0.169, 0.000), Cr at (0.000, 0.339, 0.500), Re at (0.000, 0.000, 0.500), O at (0.231, 0.173, 0.715) and O at (0.246, 0.500, 0.727).

The crystal system is monoclinic. For the final energy, the calculation gives -7.270 eV per atom. The volume comes out at 231 Å³/cell.